1.
VASP calculation (PBE-GGA) on a geometry-optimized Dy4Ho19Th6 structure.

The structure in POSCAR format:
```
Dy4Ho19Th6
1.0
10.1245 0.0000 -3.5796
-5.0623 8.7682 -3.5796
0.0000 0.0000 10.7387
Th Ho Dy
6 19 4
direct
0.1297 0.6297 0.5000
0.5000 0.1297 0.6297
0.8703 0.3703 0.5000
0.3703 0.5000 0.8703
0.6297 0.5000 0.1297
0.5000 0.8703 0.3703
0.5343 0.1916 0.2109
0.3234 0.7891 0.9806
0.1916 0.2109 0.5343
0.2642 0.2642 0.0000
0.7358 0.0000 0.7358
0.2109 0.5343 0.1916
0.6766 0.6573 0.4657
0.2642 0.0000 0.2642
0.9806 0.3234 0.7891
0.3428 0.0194 0.8084
0.7358 0.7358 0.0000
0.0194 0.8084 0.3428
0.6572 0.4657 0.6766
0.7891 0.9806 0.3234
0.0000 0.7358 0.7358
0.8084 0.3427 0.0194
0.0000 0.2642 0.2642
0.4657 0.6766 0.6573
0.0000 0.0000 0.0000
0.0000 0.0000 0.6439
0.0000 0.6439 0.0000
0.6439 0.0000 0.0000
0.3561 0.3561 0.3561
```

The formation energy comes out at 1181 kJ/mol of formula units.



2.
VASP calculation (PBE-GGA) on a geometry-optimized K3Pm2TiO6 structure.

The structure in POSCAR format:
```
K3Pm2TiO6
1.0
6.0028 -0.0099 0.0047
-3.0085 5.1945 0.0047
-0.9940 -1.7210 6.2352
O K Pm Ti
6 3 2 1
direct
0.2328 0.2328 0.8271
0.7672 0.7672 0.1729
0.3781 0.0641 0.1902
0.0641 0.3781 0.1902
0.6219 0.9359 0.8098
0.9359 0.6219 0.8098
0.5000 0.5000 0.5000
0.1613 0.8387 0.5000
0.8387 0.1613 0.5000
0.6700 0.3300 0.0000
0.3300 0.6700 0.0000
0.0000 0.0000 0.0000
```

The uncorrected formation energy is -2.47 eV/atom.



3.
VASP calculation (PBE-GGA) on a geometry-optimized BaFeSb3 structure.

The structure in POSCAR format:
```
BaFeSb3
1.0
5.1801 0.0000 0.0000
0.0000 5.1801 0.0000
0.0000 0.0000 5.1801
Sb Fe Ba
3 1 1
direct
0.5000 0.0000 0.0000
0.0000 0.0000 0.5000
0.0000 0.5000 0.0000
0.0000 0.0000 0.0000
0.5000 0.5000 0.5000
```

The uncorrected formation energy is -0.06 eV/atom. As for the excess energy over the best structure of this formula in the dataset: 0.000 eV per atom.



4.
VASP calculation (PBE-GGA) on a geometry-optimized K3HoCl6 structure.

The structure in POSCAR format:
```
K3HoCl6
1.0
7.5174 0.0000 0.0313
0.0000 7.9563 0.0000
0.1407 0.0000 10.7732
Ho Cl K
2 12 6
direct
0.0000 0.0000 0.0000
0.5000 0.5000 0.5000
0.8717 0.9444 0.2263
0.6283 0.4444 0.2737
0.1283 0.0556 0.7737
0.7816 0.6799 0.5565
0.3319 0.7736 0.4237
0.3717 0.5556 0.7263
0.6681 0.2264 0.5763
0.2184 0.3201 0.4435
0.1681 0.2736 0.0763
0.7184 0.1799 0.9435
0.2816 0.8201 0.0565
0.8319 0.7264 0.9237
0.9721 0.4285 0.7428
0.0279 0.5715 0.2572
0.5000 0.5000 0.0000
0.4721 0.0715 0.2428
0.5279 0.9285 0.7572
0.0000 0.0000 0.5000
```

The uncorrected formation energy is -2.14 eV/atom.